# 1
DFT (PBE-GGA) results for crystalline CrAs2Ir at its relaxed geometry.

Geometry as CIF:
```
data_CrAs2Ir
_chemical_formula_sum 'Cr4 As8 Ir4'
_symmetry_space_group_name_H-M 'F -4 3 m'
_symmetry_Int_Tables_number 216
_symmetry_space_group_name_Hall 'F -4 2 3'
_cell_length_a 6.351
_cell_length_b 6.351
_cell_length_c 6.351
_cell_angle_alpha 90.00
_cell_angle_beta 90.00
_cell_angle_gamma 90.00
loop_
_atom_site_label
_atom_site_fract_x
_atom_site_fract_y
_atom_site_fract_z
Cr1 0.000 0.000 0.000
As1 0.000 0.000 0.500
As2 0.250 0.250 0.250
Ir1 0.250 0.250 0.750
```

Computed properties:
Energy of formation from the pure elements = 1.6 eV/f.u.
Distance to the lowest polymorph of the same formula = 453 meV per atom
Crystal system = cubic
Magnetization = 3.4 μB per formula unit



# 2
DFT (PBE-GGA) results for crystalline YSc2In at its relaxed geometry.

Geometry as CIF:
```
data_YSc2In
_chemical_formula_sum 'Y2 Sc4 In2'
_symmetry_space_group_name_H-M 'I m m m'
_symmetry_Int_Tables_number 71
_symmetry_space_group_name_Hall '-I 2 2'
_cell_length_a 3.654
_cell_length_b 5.193
_cell_length_c 10.889
_cell_angle_alpha 90.00
_cell_angle_beta 90.00
_cell_angle_gamma 90.00
loop_
_atom_site_label
_atom_site_fract_x
_atom_site_fract_y
_atom_site_fract_z
Y1 0.000 0.000 0.000
Sc1 0.000 0.500 0.226
In1 0.000 0.000 0.500
```

Computed properties:
Energy of formation from the pure elements = -1.0 eV/f.u.
Crystal system = orthorhombic
Magnetization = 0.0 μB per formula unit



# 3
DFT (PBE-GGA) results for crystalline YMgP2 at its relaxed geometry.

Geometry as CIF:
```
data_YMgP2
_chemical_formula_sum 'Y1 Mg1 P2'
_symmetry_space_group_name_H-M 'P 4/m m m'
_symmetry_Int_Tables_number 123
_symmetry_space_group_name_Hall '-P 4 2'
_cell_length_a 3.935
_cell_length_b 3.935
_cell_length_c 5.595
_cell_angle_alpha 90.00
_cell_angle_beta 90.00
_cell_angle_gamma 90.00
loop_
_atom_site_label
_atom_site_fract_x
_atom_site_fract_y
_atom_site_fract_z
Y1 0.000 0.000 0.000
Mg1 0.500 0.500 0.500
P1 0.000 0.000 0.500
P2 0.500 0.500 0.000
```

Computed properties:
Energy of formation from the pure elements = -3.4 eV/f.u.
Crystal system = tetragonal
Magnetization = 0.0 μB per formula unit



# 4
DFT (PBE-GGA) results for crystalline Tm2Al8Cu at its relaxed geometry.

Geometry as CIF:
```
data_Tm2Al8Cu
_chemical_formula_sum 'Tm2 Al8 Cu1'
_symmetry_space_group_name_H-M 'P 4/m m m'
_symmetry_Int_Tables_number 123
_symmetry_space_group_name_Hall '-P 4 2'
_cell_length_a 4.260
_cell_length_b 4.260
_cell_length_c 11.025
_cell_angle_alpha 90.00
_cell_angle_beta 90.00
_cell_angle_gamma 90.00
loop_
_atom_site_label
_atom_site_fract_x
_atom_site_fract_y
_atom_site_fract_z
Tm1 0.000 0.000 0.188
Al1 0.000 0.500 0.000
Al2 0.000 0.500 0.376
Al3 0.500 0.500 0.196
Cu1 0.000 0.000 0.500
```

Computed properties:
Energy of formation from the pure elements = -3.6 eV/f.u.
Crystal system = tetragonal
Magnetization = 0.0 μB per formula unit



# 5
DFT (PBE-GGA) results for crystalline NaPa2Pt9 at its relaxed geometry.

Geometry as CIF:
```
data_NaPa2Pt9
_chemical_formula_sum 'Na1 Pa2 Pt9'
_symmetry_space_group_name_H-M 'P 4/m m m'
_symmetry_Int_Tables_number 123
_symmetry_space_group_name_Hall '-P 4 2'
_cell_length_a 4.163
_cell_length_b 4.163
_cell_length_c 12.097
_cell_angle_alpha 90.00
_cell_angle_beta 90.00
_cell_angle_gamma 90.00
loop_
_atom_site_label
_atom_site_fract_x
_atom_site_fract_y
_atom_site_fract_z
Na1 0.000 0.000 0.000
Pa1 0.000 0.000 0.321
Pt1 0.000 0.500 0.164
Pt2 0.000 0.500 0.500
Pt3 0.500 0.500 0.000
Pt4 0.500 0.500 0.333
```

Computed properties:
Energy of formation from the pure elements = -9.6 eV/f.u.
Crystal system = tetragonal
Magnetization = 0.0 μB per formula unit



# 6
DFT (PBE-GGA) results for crystalline Zr2ScNi at its relaxed geometry.

Geometry as CIF:
```
data_Zr2ScNi
_chemical_formula_sum 'Zr8 Sc4 Ni4'
_symmetry_space_group_name_H-M 'F -4 3 m'
_symmetry_Int_Tables_number 216
_symmetry_space_group_name_Hall 'F -4 2 3'
_cell_length_a 6.793
_cell_length_b 6.793
_cell_length_c 6.793
_cell_angle_alpha 90.00
_cell_angle_beta 90.00
_cell_angle_gamma 90.00
loop_
_atom_site_label
_atom_site_fract_x
_atom_site_fract_y
_atom_site_fract_z
Zr1 0.000 0.000 0.000
Zr2 0.250 0.250 0.250
Sc1 0.250 0.250 0.750
Ni1 0.000 0.000 0.500
```

Computed properties:
Energy of formation from the pure elements = 0.4 eV/f.u.
Distance to the lowest polymorph of the same formula = 335 meV per atom
Crystal system = cubic
Magnetization = 2.4 μB per formula unit



Question: Which of these has the lowest energy of formation from the pure elements?
Answer: NaPa2Pt9



What did the second record say?
DFT (PBE-GGA) results for crystalline YSc2In at its relaxed geometry.

Geometry as CIF:
```
data_YSc2In
_chemical_formula_sum 'Y2 Sc4 In2'
_symmetry_space_group_name_H-M 'I m m m'
_symmetry_Int_Tables_number 71
_symmetry_space_group_name_Hall '-I 2 2'
_cell_length_a 3.654
_cell_length_b 5.193
_cell_length_c 10.889
_cell_angle_alpha 90.00
_cell_angle_beta 90.00
_cell_angle_gamma 90.00
loop_
_atom_site_label
_atom_site_fract_x
_atom_site_fract_y
_atom_site_fract_z
Y1 0.000 0.000 0.000
Sc1 0.000 0.500 0.226
In1 0.000 0.000 0.500
```

Computed properties:
Energy of formation from the pure elements = -1.0 eV/f.u.
Crystal system = orthorhombic
Magnetization = 0.0 μB per formula unit



Question: Which value of magnetization does entry 4 give?
Answer: 0.0 μB per formula unit



Question: Which of these has the highest magnetization?
Answer: CrAs2Ir